Entry 1:
Crystalline TaTi6Ga4 at its relaxed geometry. Source: Alexandria, functional GGA-PBE.

The crystal system is tetragonal. The formation energy is 0.060 eV/atom.

The structure belongs to space group I-42m (No. 121); the cell edges are 6.380, 6.380 and 9.796 Å and the angles 90.00°, 90.00° and 90.00°. The distinct sites, in fractional coordinates, are Ta at (0.000, 0.000, 0.000), Ti at (0.000, 0.500, 0.000), Ti at (0.177, 0.177, 0.281) and Ga at (0.174, 0.174, 0.568).

Entry 2:
Crystalline Be3NbTc at its relaxed geometry. Source: Alexandria, functional GGA-PBE.

The crystal system is cubic. The formation energy is 1.647 eV/atom.

The structure belongs to space group Pm-3m (No. 221); the cell edges are 4.215, 4.215 and 4.215 Å and the angles 90.00°, 90.00° and 90.00°. The distinct sites, in fractional coordinates, are Be at (0.000, 0.000, 0.500), Nb at (0.000, 0.000, 0.000) and Tc at (0.500, 0.500, 0.500).

Entry 3:
Crystalline CdHPt2 at its relaxed geometry. Source: Alexandria, functional GGA-PBE.

The crystal system is cubic. For the total energy, the calculation gives -4.037 eV per atom.

The structure belongs to space group Fd-3m (No. 227, origin choice 2); the cell edges are 7.940, 7.940 and 7.940 Å and the angles 90.00°, 90.00° and 90.00°. The distinct sites, in fractional coordinates, are Cd at (0.125, 0.125, 0.125), H at (0.125, 0.125, 0.625) and Pt at (0.000, 0.000, 0.500).

Entry 4:
Crystalline HoGa3Pt3 at its relaxed geometry. Source: Alexandria, functional GGA-PBE.

The crystal system is cubic. The formation energy is -0.341 eV/atom.

The structure belongs to space group Pm-3n (No. 223); the cell edges are 6.822, 6.822 and 6.822 Å and the angles 90.00°, 90.00° and 90.00°. The distinct sites, in fractional coordinates, are Ho at (0.000, 0.000, 0.000), Ga at (0.000, 0.250, 0.500) and Pt at (0.000, 0.500, 0.250).

Entry 5:
Crystalline Th8Ir6Au at its relaxed geometry. Source: Alexandria, functional GGA-PBE.

The crystal system is trigonal. The formation energy is -0.745 eV/atom.

The structure belongs to space group P-3 (No. 147); the cell edges are 10.1917, 10.1917 and 4.2622 Å and the angles 90.00°, 90.00° and 120.00°. The distinct sites, in fractional coordinates, are Th at (0.0512, 0.7366, 0.2461), Th at (0.3333, 0.6667, 0.7487), Ir at (0.0908, 0.4713, 0.2550) and Au at (0.0000, 0.0000, 0.5000).

Entry 6:
Crystalline Ca2Zr2Si at its relaxed geometry. Source: Alexandria, functional GGA-PBE.

The crystal system is tetragonal. The formation energy (no corrections) comes out at 1.83 eV/f.u.

The structure belongs to space group I4/mmm (No. 139); the cell edges are 3.842, 3.842 and 20.009 Å and the angles 90.00°, 90.00° and 90.00°. The distinct sites, in fractional coordinates, are Ca at (0.000, 0.000, 0.088), Zr at (0.000, 0.500, 0.250) and Si at (0.000, 0.000, 0.500).

Entry 7:
Crystalline BaSi2Cl at its relaxed geometry. Source: Alexandria, functional GGA-PBE.

The crystal system is cubic. The formation energy (no corrections) comes out at 1.71 eV/f.u.

The structure belongs to space group Fm-3m (No. 225); the cell edges are 7.534, 7.534 and 7.534 Å and the angles 90.00°, 90.00° and 90.00°. The distinct sites, in fractional coordinates, are Ba at (0.000, 0.000, 0.000), Si at (0.250, 0.250, 0.250) and Cl at (0.000, 0.000, 0.500).

Entry 8:
Crystalline ReNiSb3 at its relaxed geometry. Source: Alexandria, functional GGA-PBE.

The crystal system is cubic. The formation energy (no corrections) comes out at 5.31 eV/f.u.

The structure belongs to space group Pm-3m (No. 221); the cell edges are 5.144, 5.144 and 5.144 Å and the angles 90.00°, 90.00° and 90.00°. The distinct sites, in fractional coordinates, are Re at (0.000, 0.000, 0.000), Ni at (0.500, 0.500, 0.500) and Sb at (0.000, 0.000, 0.500).